Material: BaMn2Be
Method: DFT, PBE
State: optimized geometry

The space group is I4_1/amd (No. 141, origin choice 2) and the conventional cell measures 5.086, 5.086 and 15.690 Å, with angles of 90.00, 90.00 and 90.00 degrees. The asymmetric unit holds Ba at (0.000, 0.250, 0.375), Mn at (0.000, 0.000, 0.000) and Be at (0.000, 0.250, 0.875).

The total energy comes out at -5.224 eV/atom.

---

Material: Hf2NbNiH
Method: DFT, PBE
State: optimized geometry

The space group is P4/mmm (No. 123) and the conventional cell measures 4.536, 4.536 and 3.658 Å, with angles of 90.00, 90.00 and 90.00 degrees. The asymmetric unit holds Hf at (0.000, 0.500, 0.000), Nb at (0.000, 0.000, 0.500), Ni at (0.500, 0.500, 0.500) and H at (0.000, 0.000, 0.000).

The total energy comes out at -7.956 eV/atom. As for the offset from the most stable computed form: 55 meV per atom.

---

Material: Cs2NdCl6
Method: DFT, PBE
State: optimized geometry

The space group is Amm2 (No. 38) and the conventional cell measures 4.484, 15.112 and 8.713 Å, with angles of 90.00, 90.00 and 90.00 degrees. The asymmetric unit holds Cs at (0.000, 0.167, 0.000), Nd at (0.500, 0.000, 0.501), Cl at (0.000, 0.000, 0.723), Cl at (0.000, 0.111, 0.389), Cl at (0.500, 0.000, 0.170) and Cl at (0.500, 0.165, 0.665).

The total energy comes out at -3.786 eV/atom. The value obtained for the raw formation energy is -1.836 eV/atom.

---

Material: La2Cl
Method: DFT, PBE
State: optimized geometry

The space group is Pnnm (No. 58) and the conventional cell measures 6.598, 7.302 and 3.885 Å, with angles of 90.00, 90.00 and 90.00 degrees. The asymmetric unit holds La at (0.201, 0.148, 0.000) and Cl at (0.000, 0.500, 0.000).

The total energy comes out at -4.884 eV/atom. The value obtained for the raw formation energy is -0.983 eV/atom. As for the offset from the most stable computed form: 22 meV per atom.

---

Material: AlZn6Ag3
Method: DFT, PBE
State: optimized geometry

The space group is C2/m (No. 12) and the conventional cell measures 9.890, 5.029 and 7.306 Å, with angles of 90.00, 110.23 and 90.00 degrees. The asymmetric unit holds Al at (0.000, 0.000, 0.000), Zn at (0.150, 0.250, 0.820), Zn at (0.197, 0.000, 0.406), Ag at (0.000, 0.500, 0.500) and Ag at (0.113, 0.500, 0.193).

The total energy comes out at -1.924 eV/atom. As for the offset from the most stable computed form: 95 meV per atom.

---

Material: DyY2Sc2
Method: DFT, PBE
State: optimized geometry

The space group is C2/c (No. 15) and the conventional cell measures 15.618, 5.681 and 6.680 Å, with angles of 90.00, 101.53 and 90.00 degrees. The asymmetric unit holds Dy at (0.000, 0.053, 0.250), Y at (0.204, 0.022, 0.084) and Sc at (0.093, 0.452, 0.628).

The total energy comes out at -5.933 eV/atom. As for the offset from the most stable computed form: 0 meV per atom.

---

Material: La6TbDy2
Method: DFT, PBE
State: optimized geometry

The space group is Cmmm (No. 65) and the conventional cell measures 9.510, 17.934 and 3.700 Å, with angles of 90.00, 90.00 and 90.00 degrees. The asymmetric unit holds La at (0.172, 0.166, 0.000), La at (0.178, 0.000, 0.500), Tb at (0.000, 0.500, 0.000) and Dy at (0.000, 0.327, 0.500).

The total energy comes out at -4.705 eV/atom.

---

Material: Ba2Ag
Method: DFT, PBE
State: optimized geometry

The space group is Cmcm (No. 63) and the conventional cell measures 4.172, 20.636 and 6.155 Å, with angles of 90.00, 90.00 and 90.00 degrees. The asymmetric unit holds Ba at (0.000, 0.069, 0.250), Ba at (0.000, 0.201, 0.750) and Ag at (0.000, 0.432, 0.250).

The total energy comes out at -2.342 eV/atom. As for the offset from the most stable computed form: 68 meV per atom.

---

For reference, calculated density by record: 4.19, 11.24, 3.50, 5.56, 7.24, 4.92, 6.93, 4.79 g/cm³.